[1]
# Er2Al3V

Er2Al3V after structural relaxation (PBE, the Alexandria database).

Structure (extended XYZ):
```
6
Lattice="4.925 -0.147 -2.587 -3.131 4.595 -0.237 -0.273 0.096 5.461" Properties=species:S:1:pos:R:3 pbc="T T T"
Al 0.760 2.272 1.318
Al -0.137 0.048 2.731
Al 2.326 -0.026 1.437
V 0.000 0.000 0.000
Er 2.470 1.613 -1.375
Er -0.949 2.931 4.012
```

## Properties
crystal system: trigonal
raw total energy: -31.725 eV for the cell shown
space-group type: R-3m, No. 166

***

[2]
# Er2AlV

Er2AlV after structural relaxation (PBE, the Alexandria database).

Structure (extended XYZ):
```
4
Lattice="-3.091 2.006 0.075 -2.597 -4.048 1.258 0.767 1.001 4.808" Properties=species:S:1:pos:R:3 pbc="T T T"
Er -1.299 -2.024 0.629
Er 0.384 0.501 2.404
Al -1.545 1.003 0.038
V -2.460 -0.520 3.071
```

## Properties
crystal system: tetragonal
polymorph energy (0 for the lowest one): 9.4 meV per atom
space-group type: P4/mmm, No. 123

***

[3]
# ErAlV

ErAlV after structural relaxation (PBE, the Alexandria database).

Structure (extended XYZ):
```
6
Lattice="3.954 0.000 0.000 0.000 3.954 0.000 0.000 0.000 7.879" Properties=species:S:1:pos:R:3 pbc="T T T"
Er 1.977 0.000 1.264
Er 0.000 1.977 6.615
V 0.000 0.000 3.940
V 1.977 1.977 3.940
Al 1.977 0.000 5.727
Al 0.000 1.977 2.152
```

## Properties
crystal system: tetragonal
polymorph energy (0 for the lowest one): 0.0 meV per atom
space-group type: P4/nmm, No. 129

***

| no. | DOS(E_F) (states/eV per cell) |
| --- | --- |
| 1 | 3.5 |
| 2 | 2.7 |
| 3 | 5.5 |